Arrangement i

! PBE-GGA KSe2, relaxed; values from VASP
! **Magnetic moment**: 0.000 μB/atom
! **Crystal system**: triclinic
&SYSTEM
  ibrav = 0, nat = 6, ntyp = 2
/
ATOMIC_SPECIES
K 39.10 K.upf
Se 78.96 Se.upf
CELL_PARAMETERS angstrom
5.027 0.000 0.000
-1.389 5.289 0.000
-1.227 -0.770 8.214
ATOMIC_POSITIONS crystal
K 0.000 0.000 0.000
K 0.051 0.254 0.551
Se 0.434 0.592 0.127
Se 0.575 0.417 0.886
Se 0.677 0.645 0.623
Se 0.838 0.692 0.341

=====

Arrangement ii

! PBE-GGA KSe2, relaxed; values from VASP
! **Magnetic moment**: 0.000 μB/atom
! **Crystal system**: hexagonal
&SYSTEM
  ibrav = 0, nat = 6, ntyp = 2
/
ATOMIC_SPECIES
K 39.10 K.upf
Se 78.96 Se.upf
CELL_PARAMETERS angstrom
4.722 0.000 0.000
-2.361 4.089 0.000
0.000 0.000 9.581
ATOMIC_POSITIONS crystal
K 0.000 0.000 0.250
K 0.000 0.000 0.750
Se 0.333 0.667 0.017
Se 0.333 0.667 0.483
Se 0.667 0.333 0.517
Se 0.667 0.333 0.983

=====

Relative calculated energies, zero for the most stable structure, unit eV/atom: arrangement i 0.000; arrangement ii 0.196.

=====

Arrangement i

! PBE-GGA KSe2, relaxed; values from VASP
! **Magnetic moment**: 0.000 μB/atom
! **Crystal system**: monoclinic
&SYSTEM
  ibrav = 0, nat = 3, ntyp = 2
/
ATOMIC_SPECIES
K 39.10 K.upf
Se 78.96 Se.upf
CELL_PARAMETERS angstrom
4.660 0.000 0.000
0.000 4.398 0.000
-1.454 0.000 4.729
ATOMIC_POSITIONS crystal
K 0.000 0.000 0.000
Se 0.279 0.500 0.600
Se 0.721 0.500 0.400

=====

Arrangement ii

! PBE-GGA KSe2, relaxed; values from VASP
! **Magnetic moment**: 0.000 μB/atom
! **Crystal system**: monoclinic
&SYSTEM
  ibrav = 0, nat = 6, ntyp = 2
/
ATOMIC_SPECIES
K 39.10 K.upf
Se 78.96 Se.upf
CELL_PARAMETERS angstrom
5.371 0.000 0.000
0.000 4.689 0.000
-1.473 0.000 8.219
ATOMIC_POSITIONS crystal
K 0.174 0.000 0.278
K 0.826 0.000 0.722
Se 0.306 0.476 0.769
Se 0.500 0.511 0.500
Se 0.500 0.760 0.000
Se 0.694 0.476 0.231

=====

Arrangement iii

! PBE-GGA KSe2, relaxed; values from VASP
! **Magnetic moment**: 0.000 μB/atom
! **Crystal system**: tetragonal
&SYSTEM
  ibrav = 0, nat = 3, ntyp = 2
/
ATOMIC_SPECIES
K 39.10 K.upf
Se 78.96 Se.upf
CELL_PARAMETERS angstrom
-1.653 1.653 7.006
1.653 -1.653 7.006
1.653 1.653 -7.006
ATOMIC_POSITIONS crystal
K 0.000 0.000 0.000
Se 0.326 0.326 0.000
Se 0.674 0.674 0.000

=====

Arrangement iv

! PBE-GGA KSe2, relaxed; values from VASP
! **Magnetic moment**: 0.001 μB/atom
! **Crystal system**: orthorhombic
&SYSTEM
  ibrav = 0, nat = 6, ntyp = 2
/
ATOMIC_SPECIES
K 39.10 K.upf
Se 78.96 Se.upf
CELL_PARAMETERS angstrom
4.667 0.000 0.000
0.000 7.291 0.000
0.000 0.000 6.350
ATOMIC_POSITIONS crystal
K 0.000 0.000 0.000
K 0.500 0.500 0.500
Se 0.248 0.435 0.000
Se 0.252 0.935 0.500
Se 0.748 0.065 0.500
Se 0.752 0.565 0.000

=====

Relative calculated energies, zero for the most stable structure, unit eV/atom: arrangement i 0.016; arrangement ii 0.000; arrangement iii 0.675; arrangement iv 0.041.

=====

Arrangement i

! PBE-GGA KSe2, relaxed; values from VASP
! **Magnetic moment**: 0.000 μB/atom
! **Crystal system**: triclinic
&SYSTEM
  ibrav = 0, nat = 6, ntyp = 2
/
ATOMIC_SPECIES
K 39.10 K.upf
Se 78.96 Se.upf
CELL_PARAMETERS angstrom
5.095 0.000 0.000
-2.409 5.638 0.000
-0.192 -1.892 6.983
ATOMIC_POSITIONS crystal
K 0.081 0.185 0.311
K 0.919 0.815 0.689
Se 0.282 0.568 0.006
Se 0.393 0.781 0.345
Se 0.607 0.219 0.655
Se 0.718 0.432 0.994

=====

Arrangement ii

! PBE-GGA KSe2, relaxed; values from VASP
! **Magnetic moment**: 0.000 μB/atom
! **Crystal system**: cubic
&SYSTEM
  ibrav = 0, nat = 3, ntyp = 2
/
ATOMIC_SPECIES
K 39.10 K.upf
Se 78.96 Se.upf
CELL_PARAMETERS angstrom
0.000 3.619 3.619
3.619 0.000 3.619
3.619 3.619 0.000
ATOMIC_POSITIONS crystal
K 0.000 0.000 0.000
Se 0.250 0.250 0.250
Se 0.750 0.750 0.750

=====

Arrangement iii

! PBE-GGA KSe2, relaxed; values from VASP
! **Magnetic moment**: 0.000 μB/atom
! **Crystal system**: tetragonal
&SYSTEM
  ibrav = 0, nat = 3, ntyp = 2
/
ATOMIC_SPECIES
K 39.10 K.upf
Se 78.96 Se.upf
CELL_PARAMETERS angstrom
-1.483 1.483 9.395
1.483 -1.483 9.395
1.483 1.483 -9.395
ATOMIC_POSITIONS crystal
K 0.000 0.000 0.000
Se 0.364 0.364 0.000
Se 0.636 0.636 0.000

=====

Relative calculated energies, zero for the most stable structure, unit eV/atom: arrangement i 0.000; arrangement ii 0.777; arrangement iii 0.465.

=====

Arrangement i

! PBE-GGA KSe2, relaxed; values from VASP
! **Magnetic moment**: 0.000 μB/atom
! **Crystal system**: orthorhombic
&SYSTEM
  ibrav = 0, nat = 6, ntyp = 2
/
ATOMIC_SPECIES
K 39.10 K.upf
Se 78.96 Se.upf
CELL_PARAMETERS angstrom
2.391 -6.100 0.000
2.391 6.100 0.000
0.000 0.000 6.767
ATOMIC_POSITIONS crystal
K 0.135 0.865 0.750
K 0.865 0.135 0.250
Se 0.147 0.853 0.250
Se 0.419 0.581 0.750
Se 0.581 0.419 0.250
Se 0.853 0.147 0.750

=====

Arrangement ii

! PBE-GGA KSe2, relaxed; values from VASP
! **Magnetic moment**: 0.000 μB/atom
! **Crystal system**: monoclinic
&SYSTEM
  ibrav = 0, nat = 3, ntyp = 2
/
ATOMIC_SPECIES
K 39.10 K.upf
Se 78.96 Se.upf
CELL_PARAMETERS angstrom
3.397 -3.285 0.000
3.397 3.285 0.000
-1.653 0.000 4.353
ATOMIC_POSITIONS crystal
K 0.000 0.000 0.000
Se 0.425 0.425 0.711
Se 0.575 0.575 0.289

=====

Relative calculated energies, zero for the most stable structure, unit eV/atom: arrangement i 0.009; arrangement ii 0.000.

=====

Arrangement i

! PBE-GGA KSe2, relaxed; values from VASP
! **Magnetic moment**: 0.338 μB/atom
! **Crystal system**: cubic
&SYSTEM
  ibrav = 0, nat = 12, ntyp = 2
/
ATOMIC_SPECIES
K 39.10 K.upf
Se 78.96 Se.upf
CELL_PARAMETERS angstrom
7.885 0.000 0.000
0.000 7.885 0.000
0.000 0.000 7.885
ATOMIC_POSITIONS crystal
K 0.000 0.000 0.000
K 0.000 0.500 0.500
K 0.500 0.000 0.500
K 0.500 0.500 0.000
Se 0.084 0.584 0.916
Se 0.084 0.916 0.416
Se 0.416 0.084 0.916
Se 0.416 0.416 0.416
Se 0.584 0.584 0.584
Se 0.584 0.916 0.084
Se 0.916 0.084 0.584
Se 0.916 0.416 0.084

=====

Arrangement ii

! PBE-GGA KSe2, relaxed; values from VASP
! **Magnetic moment**: 0.000 μB/atom
! **Crystal system**: triclinic
&SYSTEM
  ibrav = 0, nat = 6, ntyp = 2
/
ATOMIC_SPECIES
K 39.10 K.upf
Se 78.96 Se.upf
CELL_PARAMETERS angstrom
5.229 0.000 0.000
1.932 5.679 0.000
0.972 1.152 7.012
ATOMIC_POSITIONS crystal
K 0.000 0.000 0.000
K 0.176 0.534 0.583
Se 0.340 0.297 0.167
Se 0.548 0.907 0.354
Se 0.561 0.568 0.914
Se 0.583 0.955 0.678

=====

Arrangement iii

! PBE-GGA KSe2, relaxed; values from VASP
! **Magnetic moment**: 0.000 μB/atom
! **Crystal system**: orthorhombic
&SYSTEM
  ibrav = 0, nat = 6, ntyp = 2
/
ATOMIC_SPECIES
K 39.10 K.upf
Se 78.96 Se.upf
CELL_PARAMETERS angstrom
2.031 -10.053 0.000
2.031 10.053 0.000
0.000 0.000 4.378
ATOMIC_POSITIONS crystal
K 0.120 0.880 0.750
K 0.880 0.120 0.250
Se 0.249 0.751 0.250
Se 0.473 0.527 0.750
Se 0.527 0.473 0.250
Se 0.751 0.249 0.750

=====

Arrangement iv

! PBE-GGA KSe2, relaxed; values from VASP
! **Magnetic moment**: 0.000 μB/atom
! **Crystal system**: triclinic
&SYSTEM
  ibrav = 0, nat = 6, ntyp = 2
/
ATOMIC_SPECIES
K 39.10 K.upf
Se 78.96 Se.upf
CELL_PARAMETERS angstrom
6.168 0.000 0.000
-2.367 5.910 0.000
-2.347 -1.401 5.751
ATOMIC_POSITIONS crystal
K 0.000 0.000 0.000
K 0.253 0.601 0.603
Se 0.127 0.552 0.052
Se 0.626 0.205 0.400
Se 0.627 0.280 0.773
Se 0.627 0.833 0.325

=====

Relative calculated energies, zero for the most stable structure, unit eV/atom: arrangement i 0.203; arrangement ii 0.014; arrangement iii 0.080; arrangement iv 0.000.

=====

Arrangement i

! PBE-GGA KSe2, relaxed; values from VASP
! **Magnetic moment**: 0.000 μB/atom
! **Crystal system**: tetragonal
&SYSTEM
  ibrav = 0, nat = 3, ntyp = 2
/
ATOMIC_SPECIES
K 39.10 K.upf
Se 78.96 Se.upf
CELL_PARAMETERS angstrom
-1.974 1.974 5.700
1.974 -1.974 5.700
1.974 1.974 -5.700
ATOMIC_POSITIONS crystal
K 0.000 0.000 0.000
Se 0.271 0.271 0.000
Se 0.729 0.729 0.000

=====

Arrangement ii

! PBE-GGA KSe2, relaxed; values from VASP
! **Magnetic moment**: 0.000 μB/atom
! **Crystal system**: hexagonal
&SYSTEM
  ibrav = 0, nat = 9, ntyp = 2
/
ATOMIC_SPECIES
K 39.10 K.upf
Se 78.96 Se.upf
CELL_PARAMETERS angstrom
9.970 0.000 0.000
-4.985 8.634 0.000
0.000 0.000 3.402
ATOMIC_POSITIONS crystal
K 0.000 0.000 0.000
K 0.333 0.667 0.500
K 0.667 0.333 0.500
Se 0.000 0.299 0.500
Se 0.000 0.496 0.000
Se 0.299 0.000 0.500
Se 0.496 0.000 0.000
Se 0.504 0.504 0.000
Se 0.701 0.701 0.500

=====

Arrangement iii

! PBE-GGA KSe2, relaxed; values from VASP
! **Magnetic moment**: 0.000 μB/atom
! **Crystal system**: monoclinic
&SYSTEM
  ibrav = 0, nat = 3, ntyp = 2
/
ATOMIC_SPECIES
K 39.10 K.upf
Se 78.96 Se.upf
CELL_PARAMETERS angstrom
4.646 0.000 0.000
0.000 4.618 0.000
-0.079 0.000 4.950
ATOMIC_POSITIONS crystal
K 0.000 0.000 0.000
Se 0.011 0.500 0.496
Se 0.508 0.500 0.302

=====

Arrangement iv

! PBE-GGA KSe2, relaxed; values from VASP
! **Magnetic moment**: 0.000 μB/atom
! **Crystal system**: monoclinic
&SYSTEM
  ibrav = 0, nat = 6, ntyp = 2
/
ATOMIC_SPECIES
K 39.10 K.upf
Se 78.96 Se.upf
CELL_PARAMETERS angstrom
6.031 -2.034 0.000
6.031 2.034 0.000
-1.311 0.000 8.901
ATOMIC_POSITIONS crystal
K 0.000 0.000 0.000
K 0.218 0.218 0.539
Se 0.440 0.440 0.295
Se 0.492 0.492 0.705
Se 0.628 0.628 0.250
Se 0.949 0.949 0.507

=====

Relative calculated energies, zero for the most stable structure, unit eV/atom: arrangement i 0.134; arrangement ii 0.301; arrangement iii 0.000; arrangement iv 0.056.

=====

Arrangement i

! PBE-GGA KSe2, relaxed; values from VASP
! **Magnetic moment**: 0.000 μB/atom
! **Crystal system**: triclinic
&SYSTEM
  ibrav = 0, nat = 6, ntyp = 2
/
ATOMIC_SPECIES
K 39.10 K.upf
Se 78.96 Se.upf
CELL_PARAMETERS angstrom
4.856 0.000 0.000
0.804 5.372 0.000
1.903 1.204 7.748
ATOMIC_POSITIONS crystal
K 0.000 0.000 0.000
K 0.045 0.604 0.597
Se 0.277 0.309 0.239
Se 0.541 0.009 0.418
Se 0.556 0.548 0.000
Se 0.577 0.179 0.668

=====

Arrangement ii

! PBE-GGA KSe2, relaxed; values from VASP
! **Magnetic moment**: 0.000 μB/atom
! **Crystal system**: tetragonal
&SYSTEM
  ibrav = 0, nat = 6, ntyp = 2
/
ATOMIC_SPECIES
K 39.10 K.upf
Se 78.96 Se.upf
CELL_PARAMETERS angstrom
-2.285 2.285 9.279
2.285 -2.285 9.279
2.285 2.285 -9.279
ATOMIC_POSITIONS crystal
K 0.375 0.625 0.750
K 0.625 0.375 0.250
Se 0.028 0.778 0.250
Se 0.222 0.972 0.250
Se 0.778 0.028 0.750
Se 0.972 0.222 0.750

=====

Relative calculated energies, zero for the most stable structure, unit eV/atom: arrangement i 0.000; arrangement ii 0.015.

=====

Arrangement i

! PBE-GGA KSe2, relaxed; values from VASP
! **Magnetic moment**: 0.000 μB/atom
! **Crystal system**: monoclinic
&SYSTEM
  ibrav = 0, nat = 6, ntyp = 2
/
ATOMIC_SPECIES
K 39.10 K.upf
Se 78.96 Se.upf
CELL_PARAMETERS angstrom
5.312 -3.183 0.000
5.312 3.183 0.000
-2.028 0.000 6.559
ATOMIC_POSITIONS crystal
K 0.193 0.193 0.236
K 0.807 0.807 0.764
Se 0.225 0.225 0.747
Se 0.456 0.456 0.811
Se 0.544 0.544 0.189
Se 0.775 0.775 0.253

=====

Arrangement ii

! PBE-GGA KSe2, relaxed; values from VASP
! **Magnetic moment**: 0.000 μB/atom
! **Crystal system**: triclinic
&SYSTEM
  ibrav = 0, nat = 6, ntyp = 2
/
ATOMIC_SPECIES
K 39.10 K.upf
Se 78.96 Se.upf
CELL_PARAMETERS angstrom
5.334 0.000 0.000
2.416 5.900 0.000
1.404 1.283 6.464
ATOMIC_POSITIONS crystal
K 0.000 0.000 0.000
K 0.324 0.416 0.499
Se 0.251 0.436 0.004
Se 0.640 0.763 0.671
Se 0.764 0.563 0.026
Se 0.934 0.975 0.517

=====

Relative calculated energies, zero for the most stable structure, unit eV/atom: arrangement i 0.048; arrangement ii 0.000.

=====

Arrangement i

! PBE-GGA K5Se4, relaxed; values from VASP
! **Magnetic moment**: 0.337 μB/atom
! **Crystal system**: tetragonal
&SYSTEM
  ibrav = 0, nat = 9, ntyp = 2
/
ATOMIC_SPECIES
K 39.10 K.upf
Se 78.96 Se.upf
CELL_PARAMETERS angstrom
-5.693 5.693 2.698
5.693 -5.693 2.698
5.693 5.693 -2.698
ATOMIC_POSITIONS crystal
K 0.000 0.000 0.000
K 0.311 0.311 0.622
K 0.311 0.689 0.000
K 0.689 0.311 0.000
K 0.689 0.689 0.378
Se 0.000 0.263 0.263
Se 0.000 0.737 0.737
Se 0.263 0.000 0.263
Se 0.737 0.000 0.737

=====

Arrangement ii

! PBE-GGA K5Se4, relaxed; values from VASP
! **Magnetic moment**: 0.010 μB/atom
! **Crystal system**: hexagonal
&SYSTEM
  ibrav = 0, nat = 18, ntyp = 2
/
ATOMIC_SPECIES
K 39.10 K.upf
Se 78.96 Se.upf
CELL_PARAMETERS angstrom
10.648 0.000 0.000
-5.324 9.221 0.000
0.000 0.000 6.218
ATOMIC_POSITIONS crystal
K 0.000 0.255 0.250
K 0.000 0.745 0.750
K 0.255 0.000 0.250
K 0.255 0.255 0.750
K 0.333 0.667 0.000
K 0.333 0.667 0.500
K 0.667 0.333 0.000
K 0.667 0.333 0.500
K 0.745 0.000 0.750
K 0.745 0.745 0.250
Se 0.000 0.000 0.000
Se 0.000 0.000 0.500
Se 0.000 0.456 0.750
Se 0.000 0.544 0.250
Se 0.456 0.000 0.750
Se 0.456 0.456 0.250
Se 0.544 0.000 0.250
Se 0.544 0.544 0.750

=====

Relative calculated energies, zero for the most stable structure, unit eV/atom: arrangement i 0.297; arrangement ii 0.000.